[1]
Ca3Mn5S12 | PBE-GGA | relaxed

Structure (extended XYZ):
```
80
Lattice="12.9325 0.0000 0.0000 -4.3108 12.1929 0.0000 -4.3108 -6.0965 10.5594" Properties=species:S:1:pos:R:3 pbc="T T T"
Mn 0.0000 0.0000 0.0000
S 1.6241 4.4162 7.1662
Ca -3.2331 2.2862 9.2395
S -1.0726 7.2097 4.3754
Ca 1.0777 6.0965 2.6398
S 1.4668 1.6562 9.6551
S -3.7795 5.3659 5.5211
S -5.3834 3.2326 7.4076
S 8.0904 0.7305 5.0383
S -4.1635 4.8230 10.3180
Mn 5.3886 5.3344 3.9598
Mn -2.1554 -3.0482 5.2797
S -2.6867 7.0462 8.4315
S -0.5313 0.9498 2.1279
S 9.6943 2.8639 3.1518
Mn -4.3108 3.0482 5.2797
Ca -5.3886 6.0965 7.9195
S 8.7691 -2.6206 6.5033
Mn 5.3886 -3.8103 9.2395
S 5.3937 1.7507 1.2236
S -0.6886 7.7527 0.9043
Mn 7.5440 -0.7621 6.5996
S 8.4743 1.2735 0.2414
Ca -3.2331 -2.2862 9.2395
S -2.3028 -4.8230 10.3180
S 1.0829 1.1132 6.1840
S 4.1635 2.2024 6.2619
Mn -2.1554 6.0965 0.0000
S 2.6867 1.6803 3.3932
Mn -1.0777 0.7621 6.5996
S 6.9976 -0.9498 2.1279
S -4.9995 -0.0449 8.6729
S 5.9350 6.8270 5.5211
Mn -1.0777 3.0482 2.6398
S 0.5313 7.7768 7.1662
Ca 7.5440 3.8103 1.3199
S -0.6886 4.4852 0.9822
S -1.0829 -3.2326 7.4076
S -4.4582 8.7170 4.0561
S 2.3028 -2.2024 6.2619
Mn 3.2331 2.2862 1.3199
S 2.8440 7.7077 0.9822
S 1.4668 -1.6113 9.5772
Mn 2.1554 3.0482 5.2797
S 9.3103 6.1414 1.8865
S 4.9995 -1.6562 9.6551
Ca 3.2331 0.0000 7.9195
S -1.4668 0.0449 8.6729
Ca 9.6994 0.0000 2.6398
S 7.5491 -4.3458 9.3358
S 5.3937 9.3290 3.1518
S -1.6241 -0.7305 5.0383
Mn 5.3886 3.0482 7.9195
S 2.0081 8.2989 4.2975
S 2.8440 4.4402 0.9043
S 0.1474 3.8941 4.2975
Mn -3.2331 6.8585 3.9598
S 3.7795 -1.6803 3.3932
S 3.2280 4.9832 4.3754
S 5.3834 -1.1132 6.1840
S 6.6136 10.9194 0.2414
S -2.3028 2.6206 6.5033
Ca 7.5440 8.3826 1.3199
S 5.7776 6.0515 1.8865
Mn 1.0777 -3.0482 7.9195
Ca -1.0777 5.3344 6.5996
Mn -1.0777 9.9067 1.3199
Mn 3.2331 9.1447 2.6398
Ca 3.2331 6.8585 6.5996
Mn 6.4663 0.0000 0.0000
S -3.2383 10.4423 1.2236
S 4.9995 1.6113 9.5772
Mn 1.0777 3.8103 9.2395
S 4.8422 5.1467 8.4315
Ca 1.0777 -0.7621 3.9598
Mn 4.3108 -3.0482 5.2797
S -1.0829 4.3458 9.3358
Mn 4.3108 6.0965 0.0000
S 6.6136 3.4759 4.0561
Ca 5.3886 0.7621 3.9598
```

uncorrected energy = -5.944 eV per atom
ΔE_f (raw) = -875 meV per atom
DOS(E_F) = 0.51 states/eV/atom
space-group type = No. 230

[2]
BaSrOs2 | PBE-GGA | relaxed

Structure (extended XYZ):
```
4
Lattice="-2.7897 1.4131 -0.4087 -0.7232 -0.5545 3.0193 3.8916 8.3984 2.4744" Properties=species:S:1:pos:R:3 pbc="T T T"
Ba 1.1622 6.7281 3.1611
Os 0.0339 0.0731 0.0215
Os 1.9119 4.1261 1.2157
Sr -0.7836 2.5289 1.9239
```

uncorrected energy = -5.188 eV per atom
ΔH_f (0 K) = 128 kJ per mole of atoms
distance to the lowest polymorph of the same formula = 1136 meV per atom
DOS(E_F) = 0.95 states/eV/atom
space-group type = No. 123